# 1
Entry from Alexandria via LeMat-Bulk: a relaxed structure of BaNa2MoBr8 (GGA-PBE).

formation energy from raw total energies	-1.210	eV per atom

Lattice parameters (Å, degrees): 6.8167 6.8946 9.1392 84.31 86.97 86.80
Space group P-1 (No. 2)
Asymmetric unit:
Ba 0.0000 0.0000 0.0000 x1
Na 0.4577 0.4286 0.2326 x2
Mo 0.0000 0.0000 0.5000 x1
Br 0.1319 0.7540 0.7114 x2
Br 0.1817 0.7915 0.3106 x2
Br 0.2990 0.1968 0.5066 x2
Br 0.3536 0.2804 0.9697 x2

# 2
Entry from Alexandria via LeMat-Bulk: a relaxed structure of ErMgTlPt (GGA-PBE).

formation enthalpy at 0 K	-234	kJ/mol of formula units

Lattice parameters (Å, degrees): 6.9745 6.9745 6.9745 90.00 90.00 90.00
Space group F-43m (No. 216)
Asymmetric unit:
Er 0.0000 0.0000 0.0000 x4
Mg 0.0000 0.0000 0.5000 x4
Tl 0.2500 0.2500 0.2500 x4
Pt 0.2500 0.2500 0.7500 x4

# 3
Entry from Alexandria via LeMat-Bulk: a relaxed structure of La3PmHo2P6 (GGA-PBE).

formation enthalpy at 0 K	-1819	kJ/mol of formula units

Lattice parameters (Å, degrees): 7.1991 12.4686 7.2002 90.00 109.47 90.00
Space group C2/m (No. 12)
Asymmetric unit:
La 0.0000 0.0000 0.0000 x2
La 0.0000 0.3341 0.0000 x4
Pm 0.0000 0.5000 0.5000 x2
Ho 0.0000 0.1669 0.5000 x4
P 0.2410 0.0000 0.7374 x4
P 0.2484 0.3310 0.7381 x8

# 4
Entry from Alexandria via LeMat-Bulk: a relaxed structure of NbAs3N (GGA-PBE).

formation energy from raw total energies	1.244	eV per atom
energy above the lowest structure with this stoichiometry	3.20	eV per formula unit

Lattice parameters (Å, degrees): 5.0022 5.0022 5.0022 90.00 90.00 90.00
Space group Pm-3m (No. 221)
Asymmetric unit:
Nb 0.0000 0.0000 0.0000 x1
As 0.0000 0.0000 0.5000 x3
N 0.5000 0.5000 0.5000 x1